RbAlHgCl6 after structural relaxation, computed with GGA-PBE.

Cell: 6.683 6.683 7.245 Å, 90.00 90.00 60.00°
Element x y z (fractional)
Rb  0.000  0.000  0.000
Al  0.333  0.333  0.500
Hg  0.667  0.667  0.500
Cl  0.040  0.351  0.308
Cl  0.351  0.040  0.692
Cl  0.609  0.351  0.692
Cl  0.040  0.609  0.692
Cl  0.351  0.609  0.308
Cl  0.609  0.040  0.308

Results
The formation energy from raw total energies comes out at -11.78 eV per formula unit. The crystal system is trigonal. Its space group is No. 149.

Ce5PmOs3 after structural relaxation, computed with GGA-PBE.

Cell: 7.769 7.769 10.297 Å, 71.06 71.06 71.52°
Each line ends with the local moment (μB).
Element x y z (fractional)
Ce  0.965  0.356  0.331  0.46
Ce  0.302  0.698  0.000  0.49
Ce  0.769  0.769  0.033  0.52
Ce  0.425  0.425  0.375  0.52
Ce  0.575  0.575  0.625  0.52
Ce  0.231  0.231  0.967  0.52
Ce  0.356  0.965  0.331  0.46
Ce  0.698  0.302  0.000  0.49
Ce  0.035  0.644  0.669  0.46
Ce  0.644  0.035  0.669  0.46
Pm  0.110  0.110  0.697  0.04
Pm  0.890  0.890  0.303  0.04
Os  0.669  0.669  0.833  -0.09
Os  0.652  0.652  0.326  -0.08
Os  0.000  0.000  0.000  -0.07
Os  0.000  0.000  0.500  -0.06
Os  0.331  0.331  0.167  -0.09
Os  0.348  0.348  0.674  -0.08

Results
The crystal system is monoclinic. For the formation energy, the calculation gives -0.056 eV/atom. Its space group is No. 12.

AlCrNi after structural relaxation, computed with GGA-PBE.

Cell: 3.918 3.918 3.918 Å, 60.00 60.00 60.00°
Each line ends with the local moment (μB).
Element x y z (fractional)
Ni  0.750  0.750  0.750  -0.02
Al  0.000  0.000  0.000  -0.05
Cr  0.500  0.500  0.500  1.16

Results
The crystal system is cubic. For the formation energy, the calculation gives 0.104 eV/atom. Its space group is No. 216.

Ba4U6O19 after structural relaxation, computed with GGA-PBE.

Cell: 8.912 8.912 8.912 Å, 109.47 109.47 109.47°
Each line ends with the local moment (μB).
Element x y z (fractional)
Ba  0.000  0.000  0.708  0.00
Ba  0.000  0.708  0.000  0.00
Ba  0.292  0.292  0.292  0.00
Ba  0.708  0.000  0.000  0.00
U  0.332  0.500  0.832  1.06
U  0.668  0.500  0.168  1.06
U  0.168  0.668  0.500  1.06
U  0.832  0.332  0.500  1.06
U  0.500  0.832  0.332  1.06
U  0.500  0.168  0.668  1.06
O  0.630  0.000  0.630  -0.03
O  0.370  0.000  0.370  -0.03
O  0.370  0.370  0.000  -0.03
O  0.630  0.630  0.000  -0.03
O  0.000  0.630  0.630  -0.03
O  0.000  0.370  0.370  -0.03
O  0.000  0.000  0.000  0.00
O  0.332  0.294  0.623  -0.04
O  0.668  0.290  0.961  -0.04
O  0.671  0.710  0.377  -0.04
O  0.961  0.668  0.290  -0.04
O  0.329  0.706  0.039  -0.04
O  0.623  0.332  0.294  -0.04
O  0.039  0.329  0.706  -0.04
O  0.377  0.671  0.710  -0.04
O  0.706  0.039  0.329  -0.04
O  0.290  0.961  0.668  -0.04
O  0.294  0.623  0.332  -0.04
O  0.710  0.377  0.671  -0.04

Results
The formation energy from raw total energies comes out at -92.30 eV per formula unit. The crystal system is cubic. Its space group is No. 197.

Zr2ZnSi after structural relaxation, computed with GGA-PBE.

Cell: 4.707 4.707 4.707 Å, 60.00 60.00 60.00°
Element x y z (fractional)
Si  0.500  0.500  0.500
Zn  0.750  0.750  0.750
Zr  0.000  0.000  0.000
Zr  0.250  0.250  0.250

Results
The formation energy from raw total energies comes out at 0.74 eV per formula unit. The crystal system is cubic. Its space group is No. 216.

BaAlMo2 after structural relaxation, computed with GGA-PBE.

Cell: 10.676 10.676 10.676 Å, 16.12 16.12 16.12°
Element x y z (fractional)
Mo  0.985  0.985  0.985
Mo  0.515  0.515  0.515
Ba  0.750  0.750  0.750
Al  0.250  0.250  0.250

Results
The crystal system is trigonal. For the formation energy, the calculation gives 0.933 eV/atom. Its space group is No. 166.

HPd2RhPb after structural relaxation, computed with GGA-PBE.

Cell: 4.095 4.095 4.162 Å, 90.00 90.00 90.00°
Element x y z (fractional)
Pb  0.500  0.500  0.500
H  0.000  0.000  0.000
Rh  0.000  0.000  0.500
Pd  0.000  0.500  0.000
Pd  0.500  0.000  0.000

Results
The value obtained for the relative energy among the computed polymorphs is 0 kJ/mol of formula units. The crystal system is tetragonal. Its space group is No. 123.

GdDy2Tl after structural relaxation, computed with GGA-PBE.

Cell: 4.824 4.875 4.875 Å, 90.00 90.00 90.00°
Each line ends with the local moment (μB).
Element x y z (fractional)
Tl  0.500  0.000  0.000  -0.02
Gd  0.500  0.500  0.500  7.31
Dy  0.000  0.000  0.500  0.24
Dy  0.000  0.500  0.000  0.24

Results
The value obtained for the relative energy among the computed polymorphs is 0 kJ/mol of formula units. The crystal system is tetragonal. For the formation energy, the calculation gives -0.199 eV/atom. Its space group is No. 123.

no.,total magnetic moment (μB per formula unit),total DFT energy (no corrections) (eV/atom)
1,0.0,-3.10
2,2.9,-7.62
3,1.0,-6.28
4,6.0,-9.03
5,0.0,-5.76
6,0.0,-5.90
7,0.0,-5.16
8,8.1,-6.61